{"formula": "BaCoPO2", "functional": "PBE+U", "state": "relaxed", "lattice_angstrom": [[4.381, 0.000, 0.000], [0.000, 4.381, 0.000], [0.000, 0.000, 7.066]], "species": ["Ba", "Co", "P", "O", "O"], "frac_coords": [[0.000, 0.000, 0.000], [0.500, 0.500, 0.500], [0.000, 0.000, 0.500], [0.000, 0.500, 0.000], [0.500, 0.000, 0.000]], "relative_energy_ev_per_atom": 1.1774, "m_tot_mub_per_cell": 4.0, "spacegroup": "P4/mmm, No. 123", "dft_energy_ev_per_cell": -19.768}